No. 1
Material: SbSe2Cl5
Method: DFT, PBE-GGA
State: optimized geometry

Space group: Cm
E_form (uncorrected) in kcal/mol of atoms: -7.11

extended XYZ file:
```
8
Lattice="4.545 0.014 2.339 2.169 7.704 1.341 -1.246 0.207 8.017" Properties=species:S:1:pos:R:3 pbc="T T T"
Sb 5.300 7.924 11.609
Se 3.576 3.966 6.282
Se 1.626 3.959 5.279
Cl 5.449 7.714 5.733
Cl 2.012 5.298 1.257
Cl 3.128 2.625 10.269
Cl -0.311 0.209 5.793
Cl 2.106 0.010 1.088
```


No. 2
Material: AcLa2Ga2
Method: DFT, PBE-GGA
State: optimized geometry

DFT formation energy in eV per formula unit: -1.9
Space group: P2_1/m
Energy above the lowest structure with this stoichiometry in kJ/mol of atoms: 6.1

extended XYZ file:
```
10
Lattice="5.582 0.000 0.000 0.000 5.644 0.031 0.000 -1.482 10.099" Properties=species:S:1:pos:R:3 pbc="T T T"
Ac 1.396 4.197 2.363
Ac 4.187 -0.036 7.767
La 1.396 2.809 8.786
La 4.187 1.352 1.344
La 1.396 1.096 4.834
La 4.187 3.065 5.296
Ga 1.396 4.015 6.035
Ga 4.187 0.147 4.095
Ga 1.396 1.455 0.088
Ga 4.187 2.706 10.042
```


No. 3
Material: ZrScCd5
Method: DFT, PBE-GGA
State: optimized geometry

DFT formation energy in eV per formula unit: 0.3
Space group: Cmmm

extended XYZ file:
```
7
Lattice="4.706 0.791 -0.001 -0.783 4.707 0.000 0.000 -0.001 7.138" Properties=species:S:1:pos:R:3 pbc="T T T"
Zr 1.961 2.749 3.569
Sc 0.000 0.000 0.000
Cd 1.569 5.102 1.652
Cd 4.314 3.144 1.652
Cd 0.000 0.000 3.569
Cd -0.392 2.353 5.485
Cd 2.353 0.395 5.485
```


No. 4
Material: Ca4Cd3Si
Method: DFT, PBE-GGA
State: optimized geometry

Space group: R-3m
E_form (uncorrected) in kcal/mol of atoms: -8.11

extended XYZ file:
```
8
Lattice="5.104 0.000 1.507 2.330 4.542 1.507 0.047 0.029 9.239" Properties=species:S:1:pos:R:3 pbc="T T T"
Ca 6.569 4.013 5.944
Ca 2.790 1.704 9.347
Ca 0.912 0.557 6.308
Ca 4.692 2.866 2.905
Si 0.000 0.000 0.000
Cd 1.818 1.111 3.239
Cd 5.663 3.460 9.013
Cd 3.741 2.285 6.126
```


No. 5
Material: Y2ZnGe4Pt3
Method: DFT, PBE-GGA
State: optimized geometry

DFT formation energy in eV per formula unit: -8.1
Space group: P-4m2

extended XYZ file:
```
10
Lattice="-0.810 4.076 -0.239 -1.239 -0.477 -3.946 -10.129 -1.814 3.399" Properties=species:S:1:pos:R:3 pbc="T T T"
Y -3.033 1.568 0.762
Y -8.120 -1.582 0.544
Zn -6.089 0.892 -0.393
Ge -1.024 1.800 -2.092
Ge 0.000 0.000 0.000
Ge -6.886 0.878 2.055
Ge -4.267 -0.892 -0.749
Pt -5.064 -0.907 1.699
Pt -9.175 0.468 2.823
Pt -1.978 -0.482 -1.517
```


No. 6
Material: TaTiTc3
Method: DFT, PBE-GGA
State: optimized geometry

DFT formation energy in eV per formula unit: 5.4
Space group: Pm-3m
Energy above the lowest structure with this stoichiometry in kJ/mol of atoms: 0.0

extended XYZ file:
```
5
Lattice="4.454 0.000 0.000 0.000 4.454 0.000 0.000 0.000 4.454" Properties=species:S:1:pos:R:3 pbc="T T T"
Ti 0.000 0.000 0.000
Tc 0.000 2.227 0.000
Tc 0.000 0.000 2.227
Tc 2.227 0.000 0.000
Ta 2.227 2.227 2.227
```


No. 7
Material: RbCuO
Method: DFT, PBE-GGA
State: optimized geometry

Space group: P-6m2
E_form (uncorrected) in kcal/mol of atoms: -12.27

extended XYZ file:
```
3
Lattice="4.741 0.000 0.000 0.000 3.589 0.000 0.000 -1.795 3.108" Properties=species:S:1:pos:R:3 pbc="T T T"
O 0.789 0.000 0.000
Cu 0.791 0.000 2.072
Rb 3.161 1.795 1.036
```


No. 8
Material: La5Sm2Tm
Method: DFT, PBE-GGA
State: optimized geometry

DFT formation energy in eV per formula unit: 0.9
Space group: Cmcm

extended XYZ file:
```
16
Lattice="5.719 0.000 0.000 -2.860 6.084 0.000 0.000 0.000 16.606" Properties=species:S:1:pos:R:3 pbc="T T T"
La 2.860 5.136 15.057
La 2.860 5.136 9.852
La 0.000 4.705 7.419
La 0.000 4.705 0.884
La 2.860 0.404 4.151
La 0.000 5.681 12.454
La 2.860 1.379 9.187
La 2.860 1.379 15.722
La 0.000 0.949 1.549
La 0.000 0.949 6.754
Sm 2.860 3.352 6.060
Sm 2.860 3.352 2.243
Sm 0.000 2.732 10.546
Sm 0.000 2.732 14.363
Tm 2.860 3.020 12.454
Tm 0.000 3.064 4.151
```